Arrangement P

DFT (meta-GGA SCAN) results for HgTeS2 at its PBEsol-relaxed geometry.

Cell lengths 3.8108, 3.8108, 8.2763 Å; angles 76.69, 76.69, 60.00 degrees
Closest atoms and distances in Å follow each position.
Fractional coordinates of all 4 atoms:
S: 0.8952 0.8952 0.3146  1 Te 2.51, 3 Hg 2.65
S: 0.1048 0.1048 0.6854  1 Te 2.51, 3 Hg 2.65
Te: 0.0000 0.0000 0.0000  2 S 2.51
Hg: 0.5000 0.5000 0.5000  6 S 2.65

Summary:
- Density of states at the Fermi level: 2.393 states/eV/cell

***

Arrangement Q

DFT (meta-GGA SCAN) results for HgTeS2 at its PBEsol-relaxed geometry.

Cell lengths 3.7121, 3.7121, 9.7998 Å; angles 79.08, 79.08, 60.00 degrees
Closest atoms and distances in Å follow each position.
Fractional coordinates of all 4 atoms:
S: 0.8886 0.8886 0.3341  3 Te 2.67
S: 0.1114 0.1114 0.6659  3 Te 2.67
Te: 0.5000 0.5000 0.5000  6 S 2.67
Hg: 0.0000 0.0000 0.0000  2 S 3.19

***

Arrangement R

DFT (meta-GGA SCAN) results for HgTeS2 at its PBEsol-relaxed geometry.

Cell lengths 5.1846, 5.1846, 8.5099 Å; angles 107.74, 107.74, 90.00 degrees
Closest atoms and distances in Å follow each position.
Fractional coordinates of all 8 atoms:
S: 0.3800 0.8750 0.2500  2 Te 2.64, 2 Hg 2.67
S: 0.8700 0.3750 0.2500  2 Te 2.64, 2 Hg 2.67
S: 0.1250 0.1300 0.7500  2 Te 2.64, 2 Hg 2.67
S: 0.6250 0.6200 0.7500  2 Te 2.64, 2 Hg 2.67
Te: 0.7500 0.2500 0.5000  4 S 2.64
Te: 0.5000 0.5000 0.0000  4 S 2.64
Hg: 0.2500 0.7500 0.5000  4 S 2.67
Hg: 0.0000 0.0000 0.0000  4 S 2.67

Summary:
- Density of states at the Fermi level: 2.320 states/eV/cell

***

Which of them is the least stable? Correct choice: arrangement R.

***

Arrangement P

DFT (meta-GGA SCAN) results for HgSb2 at its PBEsol-relaxed geometry.

Cell lengths 4.3858, 4.9704, 8.0449 Å; angles 90.00, 90.00, 90.00 degrees
Closest atoms and distances in Å follow each position.
Fractional coordinates of all 6 atoms:
Hg: 0.0000 0.0000 0.0000  4 Sb 2.83
Hg: 0.5000 0.5000 0.5000  4 Sb 2.83
Sb: 0.0000 0.2019 0.6254  2 Hg 2.83, 1 Sb 2.85
Sb: 0.0000 0.7981 0.3746  2 Hg 2.83, 1 Sb 2.85
Sb: 0.5000 0.7019 0.8746  2 Hg 2.83, 1 Sb 2.85
Sb: 0.5000 0.2981 0.1254  2 Hg 2.83, 1 Sb 2.85

Summary:
- Density of states at the Fermi level: 1.631 states/eV/cell

***

Arrangement Q

DFT (meta-GGA SCAN) results for HgSb2 at its PBEsol-relaxed geometry.

Cell lengths 6.1891, 6.1891, 6.1891 Å; angles 60.00, 60.00, 60.00 degrees
Closest atoms and distances in Å follow each position.
Fractional coordinates of all 6 atoms:
Hg: 0.5000 0.5000 0.5000  12 Sb 3.63, 4 Hg 3.79
Hg: 0.7500 0.7500 0.7500  12 Sb 3.63, 4 Hg 3.79
Sb: 0.1250 0.1250 0.1250  6 Sb 3.09
Sb: 0.1250 0.1250 0.6250  6 Sb 3.09
Sb: 0.1250 0.6250 0.1250  6 Sb 3.09
Sb: 0.6250 0.1250 0.1250  6 Sb 3.09

Summary:
- Density of states at the Fermi level: 2.912 states/eV/cell

***

Arrangement R

DFT (meta-GGA SCAN) results for HgSb2 at its PBEsol-relaxed geometry.

Cell lengths 4.2086, 4.2086, 5.4275 Å; angles 90.00, 90.00, 120.00 degrees
Closest atoms and distances in Å follow each position.
Fractional coordinates of all 3 atoms:
Sb: 0.3333 0.6667 0.3453  3 Sb 2.95, 3 Hg 3.07
Sb: 0.6667 0.3333 0.6547  3 Sb 2.95, 3 Hg 3.07
Hg: 0.0000 0.0000 0.0000  6 Sb 3.07

Summary:
- Density of states at the Fermi level: 0.951 states/eV/cell

***

Which of them is the least stable? Correct choice: arrangement Q.

***

Arrangement P

DFT (meta-GGA SCAN) results for Si2HgSb at its PBEsol-relaxed geometry.

Cell lengths 3.5572, 3.9375, 6.5980 Å; angles 107.36, 105.64, 90.00 degrees
Closest atoms and distances in Å follow each position.
Fractional coordinates of all 4 atoms:
Hg: 0.5246 0.5246 0.0493  4 Si 2.82, 2 Sb 3.08
Sb: 0.7212 0.2212 0.4424  4 Si 2.85, 2 Hg 3.08
Si: 0.9458 0.9458 0.8917  2 Si 2.43
Si: 0.3083 0.8083 0.6166  2 Si 2.43

Summary:
- Density of states at the Fermi level: 1.246 states/eV/cell

***

Arrangement Q

DFT (meta-GGA SCAN) results for Si2HgSb at its PBEsol-relaxed geometry.

Cell lengths 4.7709, 4.7709, 4.7709 Å; angles 109.62, 109.62, 109.17 degrees
Closest atoms and distances in Å follow each position.
Fractional coordinates of all 4 atoms:
Hg: 0.0000 0.0000 0.0000  4 Si 2.75, 2 Sb 2.76
Sb: 0.5000 0.5000 0.0000  4 Si 2.75, 2 Hg 2.76
Si: 0.0000 0.5000 0.5000  2 Hg 2.75, 2 Sb 2.75, 2 Si 2.76
Si: 0.5000 0.0000 0.5000  2 Hg 2.75, 2 Sb 2.75, 2 Si 2.76

Summary:
- Density of states at the Fermi level: 1.866 states/eV/cell

***

Arrangement R

DFT (meta-GGA SCAN) results for Si2HgSb at its PBEsol-relaxed geometry.

Cell lengths 4.8447, 4.8447, 4.8447 Å; angles 60.00, 60.00, 60.00 degrees
Closest atoms and distances in Å follow each position.
Fractional coordinates of all 4 atoms:
Hg: 0.5000 0.5000 0.5000  4 Sb 2.97, 4 Si 2.97
Sb: 0.7500 0.7500 0.7500  4 Hg 2.97, 4 Si 2.97
Si: 0.0000 0.0000 0.0000  4 Sb 2.97, 4 Si 2.97
Si: 0.2500 0.2500 0.2500  4 Hg 2.97, 4 Si 2.97

Summary:
- Density of states at the Fermi level: 2.209 states/eV/cell

***

Which of them is the least stable? Correct choice: arrangement R.

***

Arrangement P

DFT (meta-GGA SCAN) results for Ta2HgSb at its PBEsol-relaxed geometry.

Cell lengths 2.9229, 2.9229, 9.8839 Å; angles 90.00, 90.00, 90.00 degrees
Closest atoms and distances in Å follow each position.
Fractional coordinates of all 4 atoms:
Hg: 0.0000 0.0000 0.4572  4 Hg 2.92, 4 Ta 2.99
Sb: 0.5000 0.5000 0.7900  4 Sb 2.92, 4 Ta 3.03
Ta: 0.0000 0.0000 0.0146  8 Ta 2.92-3.03, 4 Sb 3.03
Ta: 0.5000 0.5000 0.2382  8 Ta 2.92-3.03, 4 Hg 2.99

Summary:
- Density of states at the Fermi level: 2.376 states/eV/cell

***

Arrangement Q

DFT (meta-GGA SCAN) results for Ta2HgSb at its PBEsol-relaxed geometry.

Cell lengths 4.5051, 4.8956, 4.5051 Å; angles 62.61, 90.00, 117.39 degrees
Closest atoms and distances in Å follow each position.
Fractional coordinates of all 4 atoms:
Hg: 0.5000 0.0000 0.5000  8 Ta 2.92, 4 Sb 3.19
Sb: 0.0000 0.0000 0.0000  8 Ta 2.92, 4 Hg 3.19
Ta: 0.2500 0.5000 0.2500  4 Hg 2.92, 4 Sb 2.92, 4 Ta 3.19
Ta: 0.7500 0.5000 0.7500  4 Hg 2.92, 4 Sb 2.92, 4 Ta 3.19

Summary:
- Density of states at the Fermi level: 2.285 states/eV/cell

***

Arrangement R

DFT (meta-GGA SCAN) results for Ta2HgSb at its PBEsol-relaxed geometry.

Cell lengths 3.2541, 3.2541, 7.1220 Å; angles 90.00, 90.00, 90.00 degrees
Closest atoms and distances in Å follow each position.
Fractional coordinates of all 4 atoms:
Hg: 0.5000 0.5000 0.0000  8 Ta 3.00, 4 Hg 3.25
Sb: 0.5000 0.5000 0.5000  8 Ta 2.83
Ta: 0.0000 0.0000 0.7305  4 Sb 2.83, 4 Hg 3.00
Ta: 0.0000 0.0000 0.2695  4 Sb 2.83, 4 Hg 3.00

Summary:
- Density of states at the Fermi level: 2.124 states/eV/cell

***

Arrangement S

DFT (meta-GGA SCAN) results for Ta2HgSb at its PBEsol-relaxed geometry.

Cell lengths 4.8140, 4.8140, 4.8140 Å; angles 60.00, 60.00, 60.00 degrees
Closest atoms and distances in Å follow each position.
Fractional coordinates of all 4 atoms:
Hg: 0.5000 0.5000 0.5000  4 Ta 2.95, 4 Sb 2.95
Sb: 0.2500 0.2500 0.2500  4 Hg 2.95, 4 Ta 2.95
Ta: 0.0000 0.0000 0.0000  4 Ta 2.95, 4 Sb 2.95
Ta: 0.7500 0.7500 0.7500  4 Hg 2.95, 4 Ta 2.95

Summary:
- Density of states at the Fermi level: 3.953 states/eV/cell

***

Which of them is the least stable? Correct choice: arrangement S.